# 1
An optimized crystal structure of AcDy8Er2, computed with PBE-GGA.

Cell: 10.3128 10.3128 5.4825 Å, 92.98 92.98 39.68°
Atoms (fractional coordinates):
Ac (0.0000, 0.0000, 0.0000)
Dy (0.1322, 0.5941, 0.2704)
Dy (0.1909, 0.1909, 0.2345)
Dy (0.4059, 0.8678, 0.7296)
Dy (0.4526, 0.4526, 0.7603)
Dy (0.5474, 0.5474, 0.2397)
Dy (0.5941, 0.1322, 0.2704)
Dy (0.8091, 0.8091, 0.7655)
Dy (0.8678, 0.4059, 0.7296)
Er (0.2852, 0.2852, 0.7529)
Er (0.7148, 0.7148, 0.2471)

Calculated values
E_tot, eV per formula unit: -48.7
SG: C2/m (12)

---

# 2
An optimized crystal structure of Ac2Dy5Er12, computed with PBE-GGA.

Cell: 9.3864 9.3864 8.6703 Å, 101.60 101.60 59.06°
Atoms (fractional coordinates):
Ac (0.1967, 0.8033, 0.0000)
Ac (0.8033, 0.1967, 0.0000)
Dy (0.0000, 0.0000, 0.5000)
Dy (0.2178, 0.2178, 0.5156)
Dy (0.3587, 0.3587, 0.8579)
Dy (0.6413, 0.6413, 0.1421)
Dy (0.7822, 0.7822, 0.4844)
Er (0.0557, 0.4275, 0.1870)
Er (0.1482, 0.1482, 0.8299)
Er (0.2104, 0.5854, 0.5490)
Er (0.4146, 0.7896, 0.4510)
Er (0.4275, 0.0557, 0.1870)
Er (0.4331, 0.4331, 0.2299)
Er (0.5669, 0.5669, 0.7701)
Er (0.5725, 0.9443, 0.8130)
Er (0.5854, 0.2104, 0.5490)
Er (0.7896, 0.4146, 0.4510)
Er (0.8518, 0.8518, 0.1701)
Er (0.9443, 0.5725, 0.8130)

Calculated values
E_tot, eV per formula unit: -82.0
SG: C2/m (12)

---

# 3
An optimized crystal structure of AcDy8Er6, computed with PBE-GGA.

Cell: 8.1916 8.1916 8.1916 Å, 71.94 71.94 71.94°
Atoms (fractional coordinates):
Ac (0.0000, 0.0000, 0.0000)
Dy (0.0557, 0.8583, 0.3876)
Dy (0.1417, 0.6124, 0.9443)
Dy (0.2386, 0.2386, 0.2386)
Dy (0.3876, 0.0557, 0.8583)
Dy (0.6124, 0.9443, 0.1417)
Dy (0.7614, 0.7614, 0.7614)
Dy (0.8583, 0.3876, 0.0557)
Dy (0.9443, 0.1417, 0.6124)
Er (0.1737, 0.4334, 0.6163)
Er (0.3837, 0.8263, 0.5666)
Er (0.4334, 0.6163, 0.1737)
Er (0.5666, 0.3837, 0.8263)
Er (0.6163, 0.1737, 0.4334)
Er (0.8263, 0.5666, 0.3837)

Calculated values
Offset from the most stable computed form, eV/atom: 0.0784
SG: R-3 (148)